[1]
First-principles (PBE) data for an optimized crystal structure of Zr2AuSe, as listed in Alexandria via LeMat-Bulk.

Cell and atoms, written as POSCAR:
```
Zr2AuSe
1.0
7.1653 0.0093 0.0235
-2.8457 4.0306 -0.0169
1.4739 1.0796 2.7421
Au Se Zr
1 1 2
Direct
0.0000 0.5000 0.5000
0.5000 0.5000 0.0000
0.0000 0.0000 0.0000
0.5000 0.0000 0.5000
```

Results
space group = C2/m
crystal system = monoclinic

[2]
First-principles (PBE) data for an optimized crystal structure of Li4HF3, as listed in Alexandria via LeMat-Bulk.

Cell and atoms, written as POSCAR:
```
Li4HF3
1.0
4.0752 0.0000 0.0000
0.0000 4.0752 0.0000
0.0000 0.0000 4.0752
Li H F
4 1 3
Direct
0.5000 0.0000 0.0000
0.0000 0.5000 0.0000
0.0000 0.0000 0.5000
0.5000 0.5000 0.5000
0.0000 0.0000 0.0000
0.0000 0.5000 0.5000
0.5000 0.0000 0.5000
0.5000 0.5000 0.0000
```

Results
space group = Pm-3m
crystal system = cubic

no.,calculated total energy (eV/atom)
1,-6.643
2,-4.383